# 1
Density functional theory data (PBE) for a geometry-optimized NaTaNbRe structure.

```
NaTaNbRe
1.0
6.513 0.000 0.000
0.000 6.513 0.000
0.000 0.000 6.513
Na Ta Nb Re
4 4 4 4
Direct
0.000 0.000 0.000
0.000 0.500 0.500
0.500 0.000 0.500
0.500 0.500 0.000
0.250 0.250 0.750
0.250 0.750 0.250
0.750 0.250 0.250
0.750 0.750 0.750
0.250 0.250 0.250
0.250 0.750 0.750
0.750 0.250 0.750
0.750 0.750 0.250
0.000 0.000 0.500
0.000 0.500 0.000
0.500 0.000 0.000
0.500 0.500 0.500
```

Total magnetic moment, μB per cell: 0.02
Space group: No. 216
Energy above the most stable polymorph in this dataset, eV/atom: 0.000

# 2
Density functional theory data (PBE) for a geometry-optimized PaSe2 structure.

```
PaSe2
1.0
3.917 0.000 0.000
-1.959 3.392 0.000
0.000 0.000 28.077
Pa Se
4 8
Direct
0.000 0.000 0.000
0.000 0.000 0.250
0.000 0.000 0.750
0.333 0.667 0.500
0.000 0.000 0.437
0.000 0.000 0.563
0.333 0.667 0.063
0.333 0.667 0.937
0.667 0.333 0.187
0.667 0.333 0.313
0.667 0.333 0.687
0.667 0.333 0.813
```

Total magnetic moment, μB per cell: 4.00
Space group: No. 187
E, eV/atom: -6.7169

# 3
Density functional theory data (PBE) for a geometry-optimized Cs2CdHg structure.

```
Cs2CdHg
1.0
7.173 0.000 0.000
-0.601 7.293 0.000
-1.755 -1.929 7.286
Cs Cd Hg
4 2 2
Direct
0.161 0.253 0.482
0.300 0.664 0.151
0.700 0.336 0.849
0.839 0.747 0.518
0.201 0.092 0.966
0.799 0.908 0.034
0.404 0.815 0.733
0.596 0.185 0.267
```

Space group: No. 2
E, eV/atom: -0.8658

| no. | mass density (g cm⁻³) |
| --- | --- |
| 1 | 11.61 |
| 2 | 6.92 |
| 3 | 5.04 |